P | Material: Sc3InAu
Method: DFT, PBE
State: optimized geometry

Summary:
The value obtained for the total magnetization is 1.329 μB/f.u.

Unit cell a=5.285 b=5.285 c=5.285 alpha=90.00 beta=90.00 gamma=90.00
Positions (direct):
In 0.000 0.000 0.000
Sc 0.500 0.000 0.000
Sc 0.000 0.000 0.500
Sc 0.000 0.500 0.000
Au 0.500 0.500 0.500



Q | Material: Sc3InAu
Method: DFT, PBE
State: optimized geometry

Summary:
The value obtained for the total magnetization is 0.000 μB/f.u.

Unit cell a=5.167 b=5.167 c=5.167 alpha=90.00 beta=90.00 gamma=90.00
Positions (direct):
Sc 0.000 0.000 0.500
Sc 0.000 0.500 0.000
Sc 0.500 0.000 0.000
In 0.500 0.500 0.500
Au 0.000 0.000 0.000



Most stable = Q



P | Material: Sc4InAu
Method: DFT, PBE
State: optimized geometry

Summary:
The value obtained for the total magnetization is 0.000 μB/f.u.

Unit cell a=4.718 b=4.719 c=6.890 alpha=89.98 beta=89.99 gamma=90.00
Positions (direct):
Sc 0.501 0.998 0.732
Sc 0.501 0.997 0.264
Sc 0.001 0.497 0.732
Sc 0.001 0.497 0.264
In 0.501 0.497 0.998
Au 0.001 0.997 0.498



Q | Material: Sc4InAu
Method: DFT, PBE
State: optimized geometry

Summary:
The value obtained for the total magnetization is 0.000 μB/f.u.

Unit cell a=5.763 b=5.763 c=5.763 alpha=60.00 beta=60.00 gamma=60.00
Positions (direct):
Sc 0.375 0.375 0.375
Sc 0.876 0.375 0.375
Sc 0.375 0.375 0.876
Sc 0.375 0.876 0.375
Au 0.750 0.750 0.750
In 0.000 0.000 0.000



Most stable = P



P | Material: In2Au2Se
Method: DFT, PBE
State: optimized geometry

Summary:
The value obtained for the total magnetization is 0.000 μB/f.u.

Unit cell a=8.254 b=8.254 c=8.254 alpha=152.86 beta=152.86 gamma=38.76
Positions (direct):
Au 0.250 0.750 0.500
Au 0.750 0.250 0.500
Se 0.000 0.000 0.000
In 0.400 0.400 0.000
In 0.600 0.600 0.000



Q | Material: In2Au2Se
Method: DFT, PBE
State: optimized geometry

Summary:
The value obtained for the total magnetization is 0.000 μB/f.u.

Unit cell a=4.485 b=4.485 c=6.819 alpha=70.80 beta=70.80 gamma=90.00
Positions (direct):
Au 0.388 0.388 0.223
Au 0.612 0.612 0.777
In 0.750 0.250 0.500
In 0.250 0.750 0.500
Se 0.000 0.000 0.000



Most stable = P



P | Material: In2Au2Se
Method: DFT, PBE
State: optimized geometry

Summary:
The value obtained for the total magnetization is 0.000 μB/f.u.

Unit cell a=8.621 b=8.621 c=2.981 alpha=90.00 beta=90.00 gamma=90.00
Positions (direct):
In 0.190 0.310 0.000
In 0.310 0.810 0.000
In 0.810 0.690 0.000
In 0.690 0.190 0.000
Au 0.387 0.113 0.500
Au 0.113 0.613 0.500
Au 0.613 0.887 0.500
Au 0.887 0.387 0.500
Se 0.500 0.500 0.000
Se 0.000 0.000 0.000



Q | Material: In2Au2Se
Method: DFT, PBE
State: optimized geometry

Summary:
The value obtained for the total magnetization is 0.000 μB/f.u.

Unit cell a=7.497 b=7.497 c=4.018 alpha=90.00 beta=90.00 gamma=90.00
Positions (direct):
Au 0.634 0.134 0.000
Au 0.134 0.366 0.000
Au 0.366 0.866 0.000
Au 0.866 0.634 0.000
In 0.330 0.170 0.500
In 0.170 0.670 0.500
In 0.670 0.830 0.500
In 0.830 0.330 0.500
Se 0.500 0.500 0.000
Se 0.000 0.000 0.000



Most stable = Q



P | Material: InAu3Se
Method: DFT, PBE
State: optimized geometry

Summary:
The value obtained for the total magnetization is 0.000 μB/f.u.

Unit cell a=5.111 b=5.111 c=5.111 alpha=90.00 beta=90.00 gamma=90.00
Positions (direct):
Au 0.000 0.500 0.000
Au 0.000 0.000 0.500
Au 0.500 0.000 0.000
Se 0.000 0.000 0.000
In 0.500 0.500 0.500



Q | Material: InAu3Se
Method: DFT, PBE
State: optimized geometry

Summary:
The value obtained for the total magnetization is 0.000 μB/f.u.

Unit cell a=5.177 b=5.177 c=5.177 alpha=90.00 beta=90.00 gamma=90.00
Positions (direct):
Au 0.000 0.500 0.000
Au 0.000 0.000 0.500
Au 0.500 0.000 0.000
In 0.000 0.000 0.000
Se 0.500 0.500 0.500



Most stable = P



P | Material: In3AuSe
Method: DFT, PBE
State: optimized geometry

Summary:
The value obtained for the total magnetization is 0.000 μB/f.u.

Unit cell a=5.637 b=5.637 c=5.637 alpha=90.00 beta=90.00 gamma=90.00
Positions (direct):
In 0.000 0.500 0.000
In 0.500 0.000 0.000
In 0.000 0.000 0.500
Au 0.500 0.500 0.500
Se 0.000 0.000 0.000



Q | Material: In3AuSe
Method: DFT, PBE
State: optimized geometry

Summary:
The value obtained for the total magnetization is 0.000 μB/f.u.

Unit cell a=5.287 b=5.287 c=5.287 alpha=90.00 beta=90.00 gamma=90.00
Positions (direct):
In 0.000 0.500 0.000
In 0.000 0.000 0.500
In 0.500 0.000 0.000
Au 0.000 0.000 0.000
Se 0.500 0.500 0.500



Most stable = Q



P | Material: InSiAu3
Method: DFT, PBE
State: optimized geometry

Summary:
The value obtained for the total magnetization is 0.000 μB/f.u.

Unit cell a=4.863 b=4.863 c=4.863 alpha=90.00 beta=90.00 gamma=90.00
Positions (direct):
Si 0.000 0.000 0.000
Au 0.500 0.000 0.000
Au 0.000 0.500 0.000
Au 0.000 0.000 0.500
In 0.500 0.500 0.500



Q | Material: InSiAu3
Method: DFT, PBE
State: optimized geometry

Summary:
The value obtained for the total magnetization is 0.000 μB/f.u.

Unit cell a=5.134 b=5.134 c=5.134 alpha=90.00 beta=90.00 gamma=90.00
Positions (direct):
Au 0.000 0.000 0.500
Au 0.000 0.500 0.000
Au 0.500 0.000 0.000
Si 0.500 0.500 0.500
In 0.000 0.000 0.000



Most stable = P



P | Material: InSi2Au2
Method: DFT, PBE
State: optimized geometry

Summary:
The value obtained for the total magnetization is 0.000 μB/f.u.

Unit cell a=8.213 b=8.213 c=2.850 alpha=90.00 beta=90.00 gamma=90.00
Positions (direct):
Si 0.138 0.362 0.000
Si 0.638 0.138 0.000
Si 0.862 0.638 0.000
Si 0.362 0.862 0.000
Au 0.343 0.157 0.500
Au 0.657 0.843 0.500
Au 0.843 0.343 0.500
Au 0.157 0.657 0.500
In 0.000 0.000 0.000
In 0.500 0.500 0.000



Q | Material: InSi2Au2
Method: DFT, PBE
State: optimized geometry

Summary:
The value obtained for the total magnetization is 0.000 μB/f.u.

Unit cell a=3.981 b=3.981 c=6.760 alpha=72.88 beta=72.88 gamma=90.00
Positions (direct):
Si 0.750 0.250 0.500
Si 0.250 0.750 0.500
Au 0.386 0.386 0.228
Au 0.614 0.614 0.772
In 0.000 0.000 0.000



R | Material: InSi2Au2
Method: DFT, PBE
State: optimized geometry

Summary:
The value obtained for the total magnetization is 0.000 μB/f.u.

Unit cell a=8.207 b=8.207 c=2.840 alpha=90.00 beta=90.00 gamma=90.00
Positions (direct):
Si 0.863 0.363 0.500
Si 0.137 0.637 0.500
Si 0.637 0.863 0.500
Si 0.363 0.137 0.500
Au 0.658 0.158 0.000
Au 0.842 0.658 0.000
Au 0.158 0.342 0.000
Au 0.342 0.842 0.000
In 0.000 0.000 0.000
In 0.500 0.500 0.000



Most stable = Q